YSnAsN2 | GGA-PBE | optimized geometry

Cell: 4.0830 4.0830 7.0229 Å, 90.00 90.00 90.00°
Space group P4/mmm (No. 123)
Inequivalent atoms, fractional coordinates:
Y1 0.0000 0.0000 0.0000
Sn1 0.0000 0.0000 0.5000
As1 0.5000 0.5000 0.0000
N1 0.0000 0.5000 0.5000

- E_form (uncorrected): 0.94 eV/atom